{
  "formula": "TbZrBr",
  "functional": "GGA-PBE",
  "state": "relaxed",
  "final_energy_ev_per_atom": -5.495,
  "magmom_total_mub_per_fu": 0.0,
  "lattice": [[5.8434, 0.0000, 0.0000], [0.0000, 3.5267, 0.0000], [-2.2811, 0.0000, 7.7454]],
  "species": ["Tb", "Tb", "Zr", "Zr", "Br", "Br"],
  "fractional_positions": [[0.0000, 0.0000, 0.0000], [0.4558, 0.0000, 0.4113], [0.5020, 0.5000, 0.0828], [0.9635, 0.5000, 0.3367], [0.4046, 0.0000, 0.8045], [0.8405, 0.5000, 0.6514]]
}